Entry 1:
VASP calculation (GGA-PBE) on crystalline Pr2SmRu at its relaxed geometry.

polymorph energy (0 for the lowest one) = 176 meV per atom

abc: 3.5495 3.5495 9.3720
angles: 90.00 90.00 90.00
With the nearest neighbours (Å) after each atom.
Space group P4/mmm (No. 123)
One atom of each set of equivalent atoms:
1 Pr 0.0000 0.0000 0.1843  4 Ru 3.05
2 Sm 0.5000 0.5000 0.5000  4 Sm 3.55, 8 Pr 3.88
3 Ru 0.5000 0.5000 0.0000  8 Pr 3.05


Entry 2:
VASP calculation (GGA-PBE) on crystalline PrSm2Ru9 at its relaxed geometry.

abc: 5.3278 5.3278 26.3325
angles: 90.00 90.00 120.00
With the nearest neighbours (Å) after each atom.
Space group R-3m (No. 166, hexagonal axes)
One atom of each set of equivalent atoms:
1 Pr 0.0000 0.0000 0.0000  18 Ru 3.08-3.43
2 Sm 0.0000 0.0000 0.1399  12 Ru 3.07-3.29, 3 Sm 3.38
3 Ru 0.0000 0.0000 0.3379  6 Ru 2.59-2.73
4 Ru 0.0000 0.0000 0.5000  6 Ru 2.73
5 Ru 0.0094 0.5047 0.9178  7 Ru 2.59-2.74


Entry 3:
VASP calculation (GGA-PBE) on crystalline Pr3Sm4Ru2 at its relaxed geometry.

abc: 14.3964 10.5300 7.6021
angles: 90.00 105.60 90.00
With the nearest neighbours (Å) after each atom.
Space group C2/c (No. 15)
One atom of each set of equivalent atoms:
1 Pr 0.0000 0.0792 0.2500  6 Sm 3.37-3.54, 2 Ru 3.52
2 Pr 0.1272 0.4020 0.1951  2 Ru 2.94-3.28
3 Sm 0.1022 0.2432 0.6440  1 Ru 2.71
4 Sm 0.1863 0.0898 0.0600  2 Ru 2.75-2.76
5 Ru 0.2491 0.1301 0.4303  3 Sm 2.71-2.76, 1 Ru 2.74, 1 Pr 2.94


Entry 4:
VASP calculation (GGA-PBE) on crystalline Pr3SmRu at its relaxed geometry.

polymorph energy (0 for the lowest one) = 94 meV per atom

abc: 7.8773 6.6461 6.4664
angles: 90.00 90.00 90.00
With the nearest neighbours (Å) after each atom.
Space group Pmn2_1 (No. 31)
One atom of each set of equivalent atoms:
1 Pr 0.0000 0.1582 0.0000  1 Ru 2.82
2 Pr 0.2495 0.3189 0.5037  2 Ru 2.82
3 Sm 0.0000 0.8369 0.5062  1 Ru 2.75
4 Ru 0.0000 0.5031 0.2551  1 Sm 2.75, 5 Pr 2.82


In Å³/cell, the volume values for the records above are, in order, 118; 647; 1110; 339.
In eV per atom, the formation enthalpy at 0 K values for the records above are, in order, -0.009; -0.048; -0.055; -0.045.